First-principles (PBE-GGA) data for an optimized crystal structure of K2POs, as listed in Alexandria.

Calculated values
As for the uncorrected energy: -12.48 eV per cell. As for the energy of formation from the pure elements: 1.59 eV per atom. The polymorph energy (0 for the lowest one) is 1567.5 meV/atom.

```
4
Lattice="0.0000 3.8242 3.8242 3.8242 0.0000 3.8242 3.8242 3.8242 0.0000" Properties=species:S:1:pos:R:3 pbc="T T T"
K 1.9121 1.9121 1.9121
K 5.7363 5.7363 5.7363
P 0.0000 0.0000 0.0000
Os 3.8242 3.8242 3.8242
```